(1)
This record from Alexandria describes a geometry-optimized NaCdNi2H4 structure. The functional is PBE-GGA.

CIF file:
```
data_NaCdNi2H4
_chemical_formula_sum 'Na1 Cd1 Ni2 H4'
_symmetry_space_group_name_H-M 'P 1'
_symmetry_Int_Tables_number 1
_cell_length_a 3.122
_cell_length_b 3.122
_cell_length_c 7.953
_cell_angle_alpha 90.00
_cell_angle_beta 90.00
_cell_angle_gamma 90.00
loop_
_symmetry_equiv_pos_as_xyz
'x,y,z'
loop_
_atom_site_label
_atom_site_type_symbol
_atom_site_fract_x
_atom_site_fract_y
_atom_site_fract_z
Na1 Na 0.000 0.000 0.000
Cd1 Cd 0.000 0.000 0.500
Ni1 Ni 0.500 0.500 0.282
Ni2 Ni 0.500 0.500 0.718
H1 H 0.000 0.500 0.219
H2 H 0.000 0.500 0.781
H3 H 0.500 0.000 0.219
H4 H 0.500 0.000 0.781
```

Calculated values
E_tot = -27.71 eV/cell
ρ = 5.502 g/cm³

(2)
This record from Alexandria describes a geometry-optimized NaCdNiH6 structure. The functional is PBE-GGA.

CIF file:
```
data_NaCdNiH6
_chemical_formula_sum 'Na1 Cd1 Ni1 H6'
_symmetry_space_group_name_H-M 'P 1'
_symmetry_Int_Tables_number 1
_cell_length_a 4.858
_cell_length_b 4.858
_cell_length_c 4.433
_cell_angle_alpha 90.00
_cell_angle_beta 90.00
_cell_angle_gamma 120.00
loop_
_symmetry_equiv_pos_as_xyz
'x,y,z'
loop_
_atom_site_label
_atom_site_type_symbol
_atom_site_fract_x
_atom_site_fract_y
_atom_site_fract_z
Na1 Na 0.000 0.000 0.000
Cd1 Cd 0.667 0.333 0.500
Ni1 Ni 0.333 0.667 0.000
H1 H 0.058 0.447 0.220
H2 H 0.058 0.610 0.780
H3 H 0.390 0.447 0.780
H4 H 0.390 0.942 0.220
H5 H 0.553 0.610 0.220
H6 H 0.553 0.942 0.780
```

Calculated values
E_tot = -27.44 eV/cell
ρ = 3.668 g/cm³

(3)
This record from Alexandria describes a geometry-optimized NaCdHO2 structure. The functional is PBE-GGA.

CIF file:
```
data_NaCdHO2
_chemical_formula_sum 'Na2 Cd2 H2 O4'
_symmetry_space_group_name_H-M 'P 1'
_symmetry_Int_Tables_number 1
_cell_length_a 6.403
_cell_length_b 6.403
_cell_length_c 3.536
_cell_angle_alpha 90.00
_cell_angle_beta 90.00
_cell_angle_gamma 116.65
loop_
_symmetry_equiv_pos_as_xyz
'x,y,z'
loop_
_atom_site_label
_atom_site_type_symbol
_atom_site_fract_x
_atom_site_fract_y
_atom_site_fract_z
Na1 Na 0.250 0.750 0.772
Na2 Na 0.750 0.250 0.228
Cd1 Cd 0.250 0.250 0.000
Cd2 Cd 0.750 0.750 0.000
H1 H 0.000 0.000 0.500
H2 H 0.500 0.500 0.500
O1 O 0.096 0.904 0.307
O2 O 0.404 0.596 0.307
O3 O 0.596 0.404 0.693
O4 O 0.904 0.096 0.693
```

Calculated values
E_tot = -41.50 eV/cell
ρ = 4.317 g/cm³

Which value of ρ does entry 1 give? 5.502 g/cm³

The lowest E_tot belongs to which entry? NaCdHO2

Look up the E_tot of the third one. -41.50 eV/cell